Entry from Alexandria via LeMat-Bulk: an optimized crystal structure of LiCa (GGA-PBE).

Geometry as POSCAR:
```
LiCa
1.0
6.3423 -1.9685 0.0000
6.3423 1.9685 0.0000
-2.6197 0.0000 7.5983
Li Ca
3 3
direct
0.0000 0.0000 0.0000 Li
0.0248 0.0248 0.4542 Li
0.3798 0.3798 0.1675 Li
0.3846 0.3846 0.6533 Ca
0.6855 0.6855 0.2924 Ca
0.6888 0.6888 0.8262 Ca
```

Output
M_tot	0.00	Bohr magnetons per cell
calculated volume	31.6	A^3/atom
SG	Cm
energy relative to the elements	0.042	eV/atom

***

Entry from Alexandria via LeMat-Bulk: an optimized crystal structure of KCaMn2 (GGA-PBE).

Geometry as POSCAR:
```
KCaMn2
1.0
3.5376 0.0000 0.0000
0.0000 3.5376 0.0000
0.0000 0.0000 9.5542
K Ca Mn
1 1 2
direct
0.0000 0.0000 0.0000 K
0.5000 0.5000 0.6083 Ca
0.0000 0.0000 0.4028 Mn
0.5000 0.5000 0.2821 Mn
```

Output
M_tot	7.85	Bohr magnetons per cell
calculated volume	29.9	A^3/atom
SG	P4mm
energy relative to the elements	0.644	eV/atom

***

Entry from Alexandria via LeMat-Bulk: an optimized crystal structure of TlTeBr6 (GGA-PBE).

Geometry as POSCAR:
```
TlTeBr6
1.0
3.6963 2.1341 6.7930
-3.6963 2.1341 6.7930
0.0000 -4.2682 6.7930
Tl Te Br
1 1 6
direct
0.0000 0.0000 0.0000 Tl
0.5000 0.5000 0.5000 Te
0.0866 0.5935 0.5935 Br
0.4065 0.4065 0.9134 Br
0.4065 0.9134 0.4065 Br
0.5935 0.0866 0.5935 Br
0.5935 0.5935 0.0866 Br
0.9134 0.4065 0.4065 Br
```

Output
M_tot	0.00	Bohr magnetons per cell
calculated volume	40.2	A^3/atom
energy relative to the elements, uncorrected	-0.3180	eV per atom
SG	R-3m

***

Q: M_tot of number 2 (KCaMn2)?
A: 7.85 Bohr magnetons per cell

***

Q: Among the records above, which one has the lowest calculated volume?
A: KCaMn2

***

Q: Which value of calculated volume does entry 1 give?
A: 31.6 A^3/atom